TbEr2Tm5Mg: relaxed, PBE.

a b c (Å): 5.3445 19.8295 10.3244
angles (deg): 90.00 90.00 90.00
Space group Cmc2_1 (No. 36)
One atom of each set of equivalent atoms:
Tb1 0.0000 0.2060 0.0000 [4 per cell]
Er1 0.0000 0.1148 0.2873 [4 per cell]
Er2 0.0000 0.1147 0.7131 [4 per cell]
Tm1 0.0000 0.0131 0.0001 [4 per cell]
Tm2 0.0000 0.2896 0.2982 [4 per cell]
Tm3 0.0000 0.2901 0.7015 [4 per cell]
Tm4 0.0000 0.3834 0.0002 [4 per cell]
Tm5 0.0000 0.5004 0.2495 [4 per cell]
Mg1 0.0000 0.4051 0.4987 [4 per cell]

Output
As for the calculated volume: 1094.2 Å³ per cell. Its raw total energy is -146.75 eV for the cell shown. The value obtained for the theoretical density is 8.3 g/cm3.